Below is a relaxed structure of MgAsN2O, with properties calculated at the PBE-GGA level.

Fermi-level density of states ... 0.451 states/eV per atom
Uncorrected formation energy ... 1.079 eV per atom
Space group ... P4/mmm, No. 123

a = 4.0754 Å, b = 4.0754 Å, c = 3.7675 Å
α = 90.00°, β = 90.00°, γ = 90.00°
Each line ends with the local moment (μB).
Atoms (fractional coordinates):
1 N 0.5000 0.0000 0.0000  0.97
2 O 0.0000 0.0000 0.5000  0.57
3 N 0.0000 0.5000 0.0000  0.97
4 As 0.5000 0.5000 0.5000  -0.23
5 Mg 0.0000 0.0000 0.0000  0.01